No. 1
Below is crystalline Fe2TcRh at its relaxed geometry, with properties calculated at the PBE level.

Results
Total moment = 3.679 Bohr magnetons per cell
Theoretical density = 10.034 g/cm³
Space-group type = I-4m2, No. 119
ΔE_f = 0.038 eV per atom
Energy above the lowest structure with this stoichiometry = 2.0 kJ per mole of atoms
Crystal system = tetragonal

Unit cell a=4.6073 b=4.6073 c=4.6073 alpha=132.77 beta=132.77 gamma=69.02
Last column: nearest neighbours and their distance in Å.
Positions (direct):
Fe 0.0000 0.0000 0.0000  4 Rh 2.61, 4 Fe 2.65, 4 Tc 2.65
Fe 0.2500 0.7500 0.5000  4 Tc 2.61, 4 Fe 2.65, 4 Rh 2.65
Rh 0.5000 0.5000 0.0000  8 Fe 2.61-2.65, 4 Tc 2.65
Tc 0.7500 0.2500 0.5000  8 Fe 2.61-2.65, 4 Rh 2.65

***

No. 2
Below is crystalline Pm2Dy6Tm3Pu at its relaxed geometry, with properties calculated at the PBE level.

Results
Total moment = 6.310 Bohr magnetons per cell
Theoretical density = 8.953 g/cm³
Space-group type = C2/m, No. 12
ΔE_f = 0.050 eV per atom
Crystal system = monoclinic

Unit cell a=6.1280 b=6.1280 c=11.6833 alpha=95.03 beta=95.03 gamma=120.04
Last column: nearest neighbours and their distance in Å.
Positions (direct):
Pm 0.3335 0.6665 0.0000  3 Pu 3.54, 3 Pm 3.54, 6 Dy 3.55
Pm 0.6665 0.3335 0.0000  3 Pu 3.54, 3 Pm 3.54, 6 Dy 3.55
Dy 0.9162 0.5868 0.7481  6 Dy 3.50-3.56, 3 Tm 3.50-3.52, 1 Pu 3.53, 2 Pm 3.55
Dy 0.7543 0.7543 0.2520  6 Dy 3.50-3.56, 3 Tm 3.50-3.52, 1 Pu 3.53, 2 Pm 3.55
Dy 0.0838 0.4132 0.2519  6 Dy 3.50-3.56, 3 Tm 3.50-3.52, 1 Pu 3.53, 2 Pm 3.55
Dy 0.5868 0.9162 0.7481  6 Dy 3.50-3.56, 3 Tm 3.50-3.52, 1 Pu 3.53, 2 Pm 3.55
Dy 0.2457 0.2457 0.7480  6 Dy 3.50-3.56, 3 Tm 3.50-3.52, 1 Pu 3.53, 2 Pm 3.55
Dy 0.4132 0.0838 0.2519  6 Dy 3.50-3.56, 3 Tm 3.50-3.52, 1 Pu 3.53, 2 Pm 3.55
Tm 0.1668 0.8332 0.5000  6 Dy 3.50-3.52, 6 Tm 3.54
Tm 0.8332 0.1668 0.5000  6 Dy 3.50-3.52, 6 Tm 3.54
Tm 0.5000 0.5000 0.5000  6 Dy 3.50-3.52, 6 Tm 3.54
Pu 0.0000 0.0000 0.0000  6 Dy 3.53, 6 Pm 3.54

***

No. 3
Below is crystalline CuAu2Br at its relaxed geometry, with properties calculated at the PBE level.

Results
Total moment = 0.000 Bohr magnetons per cell
Theoretical density = 9.628 g/cm³
Space-group type = Pmmm, No. 47
Energy above the lowest structure with this stoichiometry = 21.0 kJ per mole of atoms
Crystal system = orthorhombic

Unit cell a=3.4848 b=3.9867 c=6.6709 alpha=90.00 beta=90.00 gamma=90.00
Last column: nearest neighbours and their distance in Å.
Positions (direct):
Au 0.0000 0.0000 0.0000  4 Au 2.65
Au 0.5000 0.5000 0.0000  4 Au 2.65
Br 0.5000 0.0000 0.5000  4 Cu 2.65
Cu 0.0000 0.5000 0.5000  4 Br 2.65

***

No. 4
Below is crystalline MgZn2MoN4 at its relaxed geometry, with properties calculated at the PBE level.

Results
Total moment = 0.000 Bohr magnetons per cell
Theoretical density = 5.017 g/cm³
Space-group type = I-42m, No. 121
Crystal system = tetragonal
Final energy = -6.42 eV per atom

Unit cell a=4.7377 b=4.7377 c=5.6328 alpha=114.87 beta=114.87 gamma=90.01
Last column: nearest neighbours and their distance in Å.
Positions (direct):
Mg 0.0001 0.0001 0.0002  4 N 2.11
Zn 0.7500 0.2500 0.5001  4 N 2.06
Zn 0.2500 0.7500 0.5001  4 N 2.06
Mo 0.5000 0.5000 0.0000  4 N 1.88
N 0.6111 0.6111 0.7615  1 Mo 1.88, 2 Zn 2.06, 1 Mg 2.11
N 0.3890 0.8496 0.2386  1 Mo 1.88, 2 Zn 2.06, 1 Mg 2.11
N 0.8496 0.3890 0.2386  1 Mo 1.88, 2 Zn 2.06, 1 Mg 2.11
N 0.1504 0.1504 0.7615  1 Mo 1.88, 2 Zn 2.06, 1 Mg 2.11

***

No. 5
Below is crystalline Al2HgRuPb at its relaxed geometry, with properties calculated at the PBE level.

Results
Total moment = 0.000 Bohr magnetons per cell
Theoretical density = 7.635 g/cm³
Space-group type = P4/mmm, No. 123
ΔE_f = 0.027 eV per atom
Crystal system = tetragonal

Unit cell a=4.8350 b=5.2359 c=4.8350 alpha=90.00 beta=90.00 gamma=90.00
Last column: nearest neighbours and their distance in Å.
Positions (direct):
Pb 0.0000 0.5000 0.0000  2 Ru 2.62
Ru 0.0000 0.0000 0.0000  4 Al 2.42, 2 Pb 2.62
Hg 0.5000 0.5000 0.5000  4 Pb 3.42, 8 Al 3.56
Al 0.0000 0.0000 0.5000  2 Ru 2.42
Al 0.5000 0.0000 0.0000  2 Ru 2.42

***

No. 6
Below is crystalline NaCd2InIr at its relaxed geometry, with properties calculated at the PBE level.

Results
Total moment = 0.000 Bohr magnetons per cell
Theoretical density = 6.464 g/cm³
Space-group type = P4/mmm, No. 123
ΔE_f = -0.026 eV per atom
Crystal system = tetragonal

Unit cell a=5.2760 b=5.2760 c=5.1209 alpha=90.00 beta=90.00 gamma=90.00
Last column: nearest neighbours and their distance in Å.
Positions (direct):
Cd 0.0000 0.5000 0.0000  2 Ir 2.64
Cd 0.5000 0.0000 0.0000  2 Ir 2.64
Ir 0.0000 0.0000 0.0000  2 In 2.56, 4 Cd 2.64
Na 0.5000 0.5000 0.5000  8 Cd 3.68, 4 In 3.73
In 0.0000 0.0000 0.5000  2 Ir 2.56

***

No. 7
Below is crystalline Tb16Nd7Y6 at its relaxed geometry, with properties calculated at the PBE level.

Results
Total moment = 0.002 Bohr magnetons per cell
Theoretical density = 6.754 g/cm³
Space-group type = Fm-3m, No. 225
ΔE_f = 0.243 eV per atom
Crystal system = cubic

Unit cell a=11.2418 b=11.2418 c=11.2418 alpha=60.00 beta=60.00 gamma=60.00
Last column: nearest neighbours and their distance in Å.
Positions (direct):
Tb 0.8742 0.8742 0.3775  4 Nd 3.43-3.46, 3 Tb 3.57, 3 Y 3.64
Tb 0.8742 0.8742 0.8742  4 Nd 3.43-3.46, 3 Tb 3.57, 3 Y 3.64
Tb 0.8742 0.3775 0.8742  4 Nd 3.43-3.46, 3 Tb 3.57, 3 Y 3.64
Tb 0.3775 0.8742 0.8742  4 Nd 3.43-3.46, 3 Tb 3.57, 3 Y 3.64
Tb 0.1258 0.1258 0.1258  4 Nd 3.43-3.46, 3 Tb 3.57, 3 Y 3.64
Tb 0.1258 0.1258 0.6225  4 Nd 3.43-3.46, 3 Tb 3.57, 3 Y 3.64
Tb 0.1258 0.6225 0.1258  4 Nd 3.43-3.46, 3 Tb 3.57, 3 Y 3.64
Tb 0.6225 0.1258 0.1258  4 Nd 3.43-3.46, 3 Tb 3.57, 3 Y 3.64
Tb 0.6525 0.6525 0.0424  3 Nd 3.27, 3 Tb 3.57, 3 Y 3.64
Tb 0.6525 0.6525 0.6525  3 Nd 3.27, 3 Tb 3.57, 3 Y 3.64
Tb 0.6525 0.0424 0.6525  3 Nd 3.27, 3 Tb 3.57, 3 Y 3.64
Tb 0.0424 0.6525 0.6525  3 Nd 3.27, 3 Tb 3.57, 3 Y 3.64
Tb 0.3475 0.3475 0.3475  3 Nd 3.27, 3 Tb 3.57, 3 Y 3.64
Tb 0.3475 0.3475 0.9576  3 Nd 3.27, 3 Tb 3.57, 3 Y 3.64
Tb 0.3475 0.9576 0.3475  3 Nd 3.27, 3 Tb 3.57, 3 Y 3.64
Tb 0.9576 0.3475 0.3475  3 Nd 3.27, 3 Tb 3.57, 3 Y 3.64
Nd 0.0000 0.0000 0.0000  8 Tb 3.46
Nd 0.5000 0.0000 0.5000  8 Tb 3.27-3.43
Nd 0.0000 0.5000 0.0000  8 Tb 3.27-3.43
Nd 0.0000 0.5000 0.5000  8 Tb 3.27-3.43
Nd 0.5000 0.0000 0.0000  8 Tb 3.27-3.43
Nd 0.0000 0.0000 0.5000  8 Tb 3.27-3.43
Nd 0.5000 0.5000 0.0000  8 Tb 3.27-3.43
Y 0.2701 0.7299 0.2701  8 Tb 3.64, 4 Nd 3.99
Y 0.7299 0.2701 0.7299  8 Tb 3.64, 4 Nd 3.99
Y 0.7299 0.2701 0.2701  8 Tb 3.64, 4 Nd 3.99
Y 0.2701 0.7299 0.7299  8 Tb 3.64, 4 Nd 3.99
Y 0.7299 0.7299 0.2701  8 Tb 3.64, 4 Nd 3.99
Y 0.2701 0.2701 0.7299  8 Tb 3.64, 4 Nd 3.99

***

No. 8
Below is crystalline ZnIn2Si2 at its relaxed geometry, with properties calculated at the PBE level.

Results
Total moment = 0.000 Bohr magnetons per cell
Theoretical density = 5.624 g/cm³
Space-group type = P4/mbm, No. 127
Energy above the lowest structure with this stoichiometry = 0.0 kJ per mole of atoms
Crystal system = tetragonal

Unit cell a=6.6152 b=6.6152 c=4.7396 alpha=90.00 beta=90.00 gamma=90.00
Last column: nearest neighbours and their distance in Å.
Positions (direct):
Zn 0.0000 0.0000 0.0000  4 Si 2.61
Zn 0.5000 0.5000 0.0000  4 Si 2.61
Si 0.3727 0.8727 0.0000  1 Si 2.38, 2 Zn 2.61
Si 0.8727 0.6273 0.0000  1 Si 2.38, 2 Zn 2.61
Si 0.6273 0.1273 0.0000  1 Si 2.38, 2 Zn 2.61
Si 0.1273 0.3727 0.0000  1 Si 2.38, 2 Zn 2.61
In 0.1882 0.6882 0.5000  6 Si 2.93-3.18
In 0.6882 0.8118 0.5000  6 Si 2.93-3.18
In 0.8118 0.3118 0.5000  6 Si 2.93-3.18
In 0.3118 0.1882 0.5000  6 Si 2.93-3.18

***

No. 9
Below is crystalline AgSeBr2 at its relaxed geometry, with properties calculated at the PBE level.

Results
Total moment = 0.000 Bohr magnetons per cell
Theoretical density = 4.702 g/cm³
Space-group type = Cmmm, No. 65
Energy above the lowest structure with this stoichiometry = 33.7 kJ per mole of atoms
Crystal system = orthorhombic

Unit cell a=4.5686 b=4.5686 c=7.1305 alpha=90.00 beta=90.00 gamma=124.67
Last column: nearest neighbours and their distance in Å.
Positions (direct):
Ag 0.5000 0.5000 0.7500  4 Br 2.77
Br 0.0000 0.0000 0.9997  2 Ag 2.77, 2 Se 2.77
Br 0.0000 0.0000 0.5003  2 Ag 2.77, 2 Se 2.77
Se 0.5000 0.5000 0.2500  4 Br 2.77

***

No. 10
Below is crystalline BeCu2Au at its relaxed geometry, with properties calculated at the PBE level.

Results
Total moment = 0.000 Bohr magnetons per cell
Theoretical density = 10.807 g/cm³
Space-group type = P2/m, No. 10
ΔE_f = 0.013 eV per atom
Crystal system = monoclinic

Unit cell a=3.8276 b=2.7803 c=5.0434 alpha=72.46 beta=90.00 gamma=90.00
Last column: nearest neighbours and their distance in Å.
Positions (direct):
Be 0.5000 0.7500 0.7500  4 Cu 2.31, 2 Au 2.49
Au 0.5000 0.2500 0.2500  2 Be 2.49, 8 Cu 2.72-2.73, 2 Au 2.78
Cu 0.0000 0.9092 0.9674  2 Be 2.31, 1 Cu 2.43
Cu 0.0000 0.5908 0.5326  2 Be 2.31, 1 Cu 2.43

***

No. 11
Below is crystalline AcAl2Hg at its relaxed geometry, with properties calculated at the PBE level.

Results
Total moment = 0.000 Bohr magnetons per cell
Theoretical density = 7.987 g/cm³
Space-group type = Amm2, No. 38
ΔE_f = -0.299 eV per atom
Crystal system = orthorhombic

Unit cell a=4.7977 b=6.2034 c=7.2956 alpha=90.00 beta=90.00 gamma=112.75
Last column: nearest neighbours and their distance in Å.
Positions (direct):
Ac 0.7575 0.5151 0.5000  5 Al 3.26-3.54, 4 Hg 3.26
Ac 0.5703 0.1406 0.0000  7 Al 3.32-3.43, 2 Hg 3.57
Al 0.0434 0.0868 0.6860  4 Al 2.71-3.03, 1 Hg 2.89
Al 0.0434 0.0868 0.3140  4 Al 2.71-3.03, 1 Hg 2.89
Al 0.8703 0.7407 0.0000  4 Hg 2.97, 2 Al 3.03, 2 Ac 3.32
Al 0.4729 0.9458 0.5000  4 Al 2.87, 2 Hg 3.06
Hg 0.2854 0.5708 0.7992  4 Al 2.89-3.06, 1 Hg 2.93
Hg 0.2854 0.5708 0.2008  4 Al 2.89-3.06, 1 Hg 2.93

***

No. 12
Below is crystalline Nd2HgI at its relaxed geometry, with properties calculated at the PBE level.

Results
Total moment = 0.000 Bohr magnetons per cell
Theoretical density = 8.074 g/cm³
Space-group type = R3m, No. 160
Energy above the lowest structure with this stoichiometry = 0.0 kJ per mole of atoms
Crystal system = trigonal

Unit cell a=3.9981 b=3.9981 c=9.4377 alpha=77.77 beta=77.77 gamma=60.00
Last column: nearest neighbours and their distance in Å.
Positions (direct):
Nd 0.0803 0.0803 0.7590  3 Hg 3.19, 3 I 3.30
Nd 0.2531 0.2531 0.2406  3 Hg 3.19, 3 I 3.31
Hg 0.6667 0.6667 0.9999  6 Nd 3.19
I 0.4998 0.4998 0.5005  6 Nd 3.30-3.31